Entry 1:
CaRe4Sb | GGA-PBE | optimized geometry

Output
Fermi-level density of states: 1.034 states/eV per atom
Energy: -8.873 eV/atom

Lattice parameters (Å, degrees): 7.600 7.600 7.600 90.00 90.00 90.00
Space group F-43m (No. 216)
Inequivalent atoms, fractional coordinates:
Ca (0.000, 0.000, 0.000)
Re (0.125, 0.125, 0.625)
Sb (0.250, 0.250, 0.250)

Entry 2:
CaRe2Sb | GGA-PBE | optimized geometry

Output
Fermi-level density of states: 1.163 states/eV per atom
Energy: -7.103 eV/atom

Lattice parameters (Å, degrees): 4.439 4.439 7.491 90.00 90.00 90.00
Space group I-4m2 (No. 119)
Inequivalent atoms, fractional coordinates:
Ca (0.000, 0.000, 0.000)
Re (0.000, 0.000, 0.500)
Re (0.000, 0.500, 0.750)
Sb (0.000, 0.500, 0.250)

Entry 3:
CaRe2Sb | GGA-PBE | optimized geometry

Output
Fermi-level density of states: 1.511 states/eV per atom
Energy: -6.974 eV/atom

Lattice parameters (Å, degrees): 3.422 3.422 6.783 90.00 90.00 90.00
Space group P4/mmm (No. 123)
Inequivalent atoms, fractional coordinates:
Ca (0.000, 0.000, 0.000)
Re (0.500, 0.500, 0.301)
Sb (0.000, 0.000, 0.500)

Entry 4:
Ca3ReSb | GGA-PBE | optimized geometry

Output
Fermi-level density of states: 1.298 states/eV per atom
ΔE to the lowest computed polymorph: 0.000 eV per atom

Lattice parameters (Å, degrees): 5.412 5.412 5.412 90.00 90.00 90.00
Space group Pm-3m (No. 221)
Inequivalent atoms, fractional coordinates:
Ca (0.000, 0.000, 0.500)
Re (0.000, 0.000, 0.000)
Sb (0.500, 0.500, 0.500)

Entry 5:
CaReSb | GGA-PBE | optimized geometry

Output
Fermi-level density of states: 0.708 states/eV per atom
ΔE to the lowest computed polymorph: 0.389 eV per atom

Lattice parameters (Å, degrees): 6.585 6.585 6.585 90.00 90.00 90.00
Space group F-43m (No. 216)
Inequivalent atoms, fractional coordinates:
Ca (0.000, 0.000, 0.000)
Re (0.250, 0.250, 0.750)
Sb (0.000, 0.000, 0.500)

Entry 6:
CaRe2Sb | GGA-PBE | optimized geometry

Output
Fermi-level density of states: 0.766 states/eV per atom
Energy: -7.049 eV/atom

Lattice parameters (Å, degrees): 3.509 4.389 4.918 90.00 90.00 90.00
Space group Pmmm (No. 47)
Inequivalent atoms, fractional coordinates:
Ca (0.000, 0.000, 0.000)
Re (0.000, 0.500, 0.500)
Re (0.500, 0.000, 0.500)
Sb (0.500, 0.500, 0.000)

Entry 7:
CaRe3Sb | GGA-PBE | optimized geometry

Output
Fermi-level density of states: 1.128 states/eV per atom
ΔE to the lowest computed polymorph: 0.000 eV per atom

Lattice parameters (Å, degrees): 4.919 4.919 4.919 90.00 90.00 90.00
Space group Pm-3m (No. 221)
Inequivalent atoms, fractional coordinates:
Ca (0.000, 0.000, 0.000)
Re (0.000, 0.500, 0.500)
Sb (0.500, 0.500, 0.500)

Entry 8:
CaRe2Sb | GGA-PBE | optimized geometry

Output
Fermi-level density of states: 0.829 states/eV per atom
Energy: -7.571 eV/atom

Lattice parameters (Å, degrees): 3.126 3.126 8.366 90.00 90.00 90.00
Space group P4mm (No. 99)
Inequivalent atoms, fractional coordinates:
Ca (0.000, 0.000, 0.000)
Re (0.000, 0.000, 0.431)
Re (0.500, 0.500, 0.261)
Sb (0.500, 0.500, 0.664)

Entry 9:
CaRe2Sb | GGA-PBE | optimized geometry

Output
Fermi-level density of states: 1.050 states/eV per atom
Energy: -7.003 eV/atom

Lattice parameters (Å, degrees): 3.978 3.978 9.610 90.00 90.00 90.00
Space group I4/mmm (No. 139)
Inequivalent atoms, fractional coordinates:
Ca (0.000, 0.000, 0.000)
Re (0.000, 0.500, 0.250)
Sb (0.000, 0.000, 0.500)

Entry 10:
CaRe2Sb | GGA-PBE | optimized geometry

Output
Fermi-level density of states: 0.934 states/eV per atom
Energy: -7.243 eV/atom

Lattice parameters (Å, degrees): 9.837 3.682 5.100 90.00 106.64 90.00
Space group C2/m (No. 12)
Inequivalent atoms, fractional coordinates:
Ca (0.000, 0.000, 0.000)
Re (0.234, 0.000, 0.643)
Sb (0.000, 0.500, 0.500)

Entry 11:
CaRe2Sb | GGA-PBE | optimized geometry

Output
Fermi-level density of states: 0.882 states/eV per atom
Energy: -7.010 eV/atom

Lattice parameters (Å, degrees): 5.763 10.554 2.860 90.00 119.09 90.00
Space group C2/m (No. 12)
Inequivalent atoms, fractional coordinates:
Ca (0.000, 0.000, 0.000)
Re (0.250, 0.250, 0.500)
Sb (0.000, 0.500, 0.000)

Entry 12:
CaRe2Sb | GGA-PBE | optimized geometry

Output
Fermi-level density of states: 0.828 states/eV per atom
Energy: -6.979 eV/atom

Lattice parameters (Å, degrees): 3.120 4.291 6.134 90.00 90.00 90.00
Space group Pmmm (No. 47)
Inequivalent atoms, fractional coordinates:
Ca (0.000, 0.000, 0.000)
Re (0.500, 0.500, 0.308)
Sb (0.000, 0.000, 0.500)

Entry 13:
CaRe2Sb | GGA-PBE | optimized geometry

Output
Fermi-level density of states: 0.719 states/eV per atom
Energy: -7.151 eV/atom

Lattice parameters (Å, degrees): 2.864 5.159 5.286 90.00 91.40 90.00
Space group P2/m (No. 10)
Inequivalent atoms, fractional coordinates:
Ca (0.000, 0.000, 0.000)
Re (0.394, 0.500, 0.773)
Sb (0.500, 0.000, 0.500)

Entry 14:
CaReSb | GGA-PBE | optimized geometry

Output
Fermi-level density of states: 1.559 states/eV per atom
ΔE to the lowest computed polymorph: 1.234 eV per atom

Lattice parameters (Å, degrees): 6.857 6.857 6.857 90.00 90.00 90.00
Space group F-43m (No. 216)
Inequivalent atoms, fractional coordinates:
Ca (0.000, 0.000, 0.000)
Re (0.250, 0.250, 0.750)
Sb (0.250, 0.250, 0.250)

Entry 15:
CaRe2Sb | GGA-PBE | optimized geometry

Output
Fermi-level density of states: 0.952 states/eV per atom
Energy: -6.858 eV/atom

Lattice parameters (Å, degrees): 5.634 8.374 3.187 90.00 90.00 90.00
Space group Cmmm (No. 65)
Inequivalent atoms, fractional coordinates:
Ca (0.000, 0.000, 0.000)
Re (0.250, 0.250, 0.500)
Sb (0.000, 0.500, 0.000)

Entry 16:
CaRe2Sb | GGA-PBE | optimized geometry

Output
Fermi-level density of states: 0.678 states/eV per atom
Energy: -7.235 eV/atom

Lattice parameters (Å, degrees): 3.264 5.096 10.086 90.00 90.00 90.00
Space group Imm2 (No. 44)
Inequivalent atoms, fractional coordinates:
Ca (0.000, 0.000, 0.000)
Re (0.000, 0.000, 0.478)
Re (0.000, 0.500, 0.799)
Sb (0.000, 0.500, 0.218)

Entry 17:
CaRe2Sb | GGA-PBE | optimized geometry

Output
Fermi-level density of states: 1.308 states/eV per atom
Energy: -6.878 eV/atom

Lattice parameters (Å, degrees): 3.1278 3.1278 27.4551 90.00 90.00 120.00
Space group R-3m (No. 166, hexagonal axes)
Inequivalent atoms, fractional coordinates:
Ca (0.0000, 0.0000, 0.0000)
Re (0.0000, 0.0000, 0.2409)
Sb (0.0000, 0.0000, 0.5000)

Entry 18:
CaReSb4 | GGA-PBE | optimized geometry

Output
Fermi-level density of states: 0.841 states/eV per atom
Energy: -4.388 eV/atom

Lattice parameters (Å, degrees): 8.739 8.739 8.739 90.00 90.00 90.00
Space group F-43m (No. 216)
Inequivalent atoms, fractional coordinates:
Ca (0.000, 0.000, 0.000)
Re (0.250, 0.250, 0.750)
Sb (0.124, 0.124, 0.376)

Entry 19:
Ca3ReSb | GGA-PBE | optimized geometry

Output
Fermi-level density of states: 0.627 states/eV per atom
ΔE to the lowest computed polymorph: 0.346 eV per atom

Lattice parameters (Å, degrees): 5.815 5.815 5.815 90.00 90.00 90.00
Space group Pm-3m (No. 221)
Inequivalent atoms, fractional coordinates:
Ca (0.000, 0.000, 0.500)
Re (0.500, 0.500, 0.500)
Sb (0.000, 0.000, 0.000)

Entry 20:
CaReSb | GGA-PBE | optimized geometry

Output
Fermi-level density of states: 0.595 states/eV per atom
ΔE to the lowest computed polymorph: 0.000 eV per atom

Lattice parameters (Å, degrees): 3.470 3.470 11.036 90.00 90.00 90.00
Space group I4mm (No. 107)
Inequivalent atoms, fractional coordinates:
Ca (0.000, 0.000, 0.000)
Re (0.000, 0.000, 0.314)
Sb (0.000, 0.000, 0.707)

Number 1: ρ 13.72 g/cm3. Number 2: ρ 12.02 g/cm3. Number 3: ρ 11.17 g/cm3. Number 4: ρ 4.48 g/cm3. Number 5: ρ 8.10 g/cm3. Number 6: ρ 11.71 g/cm3. Number 7: ρ 10.05 g/cm3. Number 8: ρ 10.85 g/cm3. Number 9: ρ 11.67 g/cm3. Number 10: ρ 10.03 g/cm3. Number 11: ρ 11.67 g/cm3. Number 12: ρ 10.80 g/cm3. Number 13: ρ 11.36 g/cm3. Number 14: ρ 7.17 g/cm3. Number 15: ρ 11.80 g/cm3. Number 16: ρ 10.57 g/cm3. Number 17: ρ 11.44 g/cm3. Number 18: ρ 7.10 g/cm3. Number 19: ρ 3.62 g/cm3. Number 20: ρ 8.70 g/cm3.